(1)
Ca2InSi: optimized geometry, GGA-PBE.

POSCAR file:
```
Ca2InSi
1.0
3.7232 0.0000 0.0000
0.0000 3.7232 0.0000
0.0000 0.0000 7.4222
Ca In Si
2 1 1
direct
0.0000 0.0000 0.2284
0.0000 0.0000 0.7716
0.5000 0.5000 0.5000
0.5000 0.5000 0.0000
```

Computed properties:
Raw formation energy ... -351 meV/atom
SG ... No. 123

(2)
NiRh2Au: optimized geometry, GGA-PBE.

POSCAR file:
```
NiRh2Au
1.0
2.7070 -3.9041 0.0000
2.7070 3.9041 0.0000
0.0000 0.0000 2.7685
Ni Rh Au
1 2 1
direct
0.0000 0.0000 0.0000
0.0000 0.5000 0.5000
0.5000 0.0000 0.5000
0.5000 0.5000 0.0000
```

Computed properties:
E above lowest polymorph ... 0.1161 eV/atom
SG ... No. 65

Final energy
In order: -3.39, -5.73
Unit: eV per atom